The following is a DFT calculation (PBE) of LiLaSi3 after structural relaxation.

Lattice parameters (Å, degrees): 5.580 5.580 5.580 90.00 90.00 90.00
Space group Pm-3m (No. 221)
Symmetry-distinct sites (fractional):
Li 0.000 0.000 0.000 x1
La 0.500 0.500 0.500 x1
Si 0.000 0.500 0.500 x3

## Properties
The relative energy among the computed polymorphs is 1513 meV per atom. Its crystal system is cubic. For the uncorrected formation energy, the calculation gives 1079 meV/atom.


The following is a DFT calculation (PBE) of Y2MgCd after structural relaxation.

Lattice parameters (Å, degrees): 3.6069 3.6069 30.5869 90.00 90.00 120.00
Space group R-3m (No. 166, hexagonal axes)
Symmetry-distinct sites (fractional):
Y 0.0000 0.0000 0.2478 x6
Mg 0.0000 0.0000 0.0000 x3
Cd 0.0000 0.0000 0.5000 x3

## Properties
Its formation energy is -0.08 eV per atom. Its crystal system is trigonal.


The following is a DFT calculation (PBE) of KSe2Br after structural relaxation.

Lattice parameters (Å, degrees): 6.584 6.584 15.190 90.00 90.00 90.00
Space group I-42d (No. 122)
Symmetry-distinct sites (fractional):
K 0.000 0.000 0.000 x4
Se 0.125 0.250 0.625 x8
Br 0.000 0.000 0.500 x4

## Properties
The relative energy among the computed polymorphs is 642 meV per atom. Its crystal system is tetragonal. For the uncorrected formation energy, the calculation gives -46 meV/atom.


The following is a DFT calculation (PBE) of AcLuMgIn after structural relaxation.

Lattice parameters (Å, degrees): 7.830 7.830 7.830 90.00 90.00 90.00
Space group F-43m (No. 216)
Symmetry-distinct sites (fractional):
Ac 0.000 0.000 0.000 x4
Lu 0.000 0.000 0.500 x4
Mg 0.250 0.250 0.250 x4
In 0.250 0.250 0.750 x4

## Properties
Its formation energy is -0.22 eV per atom. Its crystal system is cubic.


The following is a DFT calculation (PBE) of HAuSe2 after structural relaxation.

Lattice parameters (Å, degrees): 6.472 6.472 6.472 90.00 90.00 90.00
Space group Fm-3m (No. 225)
Symmetry-distinct sites (fractional):
H 0.000 0.000 0.000 x4
Au 0.000 0.000 0.500 x4
Se 0.250 0.250 0.250 x8

## Properties
The relative energy among the computed polymorphs is 466 meV per atom. Its crystal system is cubic.


The following is a DFT calculation (PBE) of Cs2Tl6In3 after structural relaxation.

Lattice parameters (Å, degrees): 9.4070 9.4070 5.3239 90.00 90.00 120.00
Space group P-62m (No. 189)
Symmetry-distinct sites (fractional):
Cs 0.3333 0.6667 0.0000 x2
Tl 0.0000 0.1966 0.0000 x3
Tl 0.0000 0.7080 0.5000 x3
In 0.0000 0.3620 0.5000 x3

## Properties
Its formation energy is -0.04 eV per atom. Its crystal system is hexagonal.


| no. | Fermi-level density of states (states/eV/cell) |
| --- | --- |
| 1 | 5.26 |
| 2 | 14.21 |
| 3 | 0.68 |
| 4 | 12.81 |
| 5 | 14.01 |
| 6 | 3.44 |